Computed, not measured: a relaxed Mg3Ag2Au3 crystal at the PBE level of DFT.

```
Mg3Ag2Au3
1.0
-0.7107 -0.9967 5.3377
-7.3956 -3.0700 -1.5580
6.5348 -4.8829 -0.0416
Mg Ag Au
6 4 6
direct
0.7500 0.7250 0.0000
0.7500 0.2750 0.2750
0.7500 0.0000 0.7250
0.2500 0.2750 0.0000
0.2500 0.7250 0.7250
0.2500 0.0000 0.2750
0.0000 0.3333 0.6667
0.5000 0.6667 0.3333
0.0000 0.6667 0.3333
0.5000 0.3333 0.6667
0.7500 0.3700 0.0000
0.7500 0.6300 0.6300
0.7500 0.0000 0.3700
0.2500 0.6300 0.0000
0.2500 0.3700 0.3700
0.2500 0.0000 0.6300
```

Output
Energy relative to the elements   -33.79 kJ per mole of atoms
Energy above the lowest structure with this stoichiometry   0.020 eV per atom
SG   P6_3/mcm, No. 193

Computed, not measured: a relaxed MgAg4Au3 crystal at the PBE level of DFT.

```
MgAg4Au3
1.0
3.8329 0.0000 -1.3520
-0.3903 3.9922 -1.1065
0.9741 0.3804 8.8706
Mg Au Ag
1 3 4
direct
0.5000 0.0000 0.0000
0.0000 0.5000 0.0000
0.8771 0.8780 0.7542
0.1229 0.1220 0.2458
0.7515 0.2515 0.5031
0.2485 0.7485 0.4969
0.3747 0.3756 0.7495
0.6253 0.6244 0.2505
```

Output
Energy relative to the elements   -18.03 kJ per mole of atoms
Energy above the lowest structure with this stoichiometry   0.000 eV per atom
SG   Immm, No. 71

Computed, not measured: a relaxed Mg2Ag3Au3 crystal at the PBE level of DFT.

```
Mg2Ag3Au3
1.0
-4.5421 1.4097 -1.1392
-0.9587 -4.4794 -1.7206
0.8445 -0.1852 6.9002
Mg Ag Au
2 3 3
direct
0.2532 0.2526 0.5063
0.7468 0.7474 0.4937
0.1238 0.6236 0.2476
0.8762 0.3764 0.7524
0.0000 0.0000 0.0000
0.6325 0.1332 0.2650
0.5000 0.5000 0.0000
0.3675 0.8668 0.7350
```

Output
Energy relative to the elements   -25.78 kJ per mole of atoms
Energy above the lowest structure with this stoichiometry   0.000 eV per atom
SG   C2/m, No. 12

Computed, not measured: a relaxed Mg2AgAu crystal at the PBE level of DFT.

```
Mg2AgAu
1.0
7.4755 0.0000 0.0000
0.0000 7.4755 0.0000
3.7378 3.7378 2.8947
Mg Au Ag
4 2 2
direct
0.6365 0.1250 0.2500
0.1135 0.6250 0.2500
0.3750 0.3635 0.7500
0.8750 0.8865 0.7500
0.0000 0.0000 0.0000
0.7500 0.2500 0.5000
0.5000 0.5000 0.0000
0.2500 0.7500 0.5000
```

Output
Energy relative to the elements   -12.59 kJ per mole of atoms
Energy above the lowest structure with this stoichiometry   0.313 eV per atom
SG   I-42d, No. 122

Computed, not measured: a relaxed Mg4AgAu crystal at the PBE level of DFT.

```
Mg4AgAu
1.0
4.5732 -0.0002 -0.0017
-0.0003 4.5728 -0.0024
0.0028 0.0044 6.5460
Mg Ag Au
4 1 1
direct
0.5014 0.9968 0.2539
0.5013 0.9974 0.7424
0.0013 0.4973 0.7424
0.0014 0.4970 0.2539
0.5011 0.4976 0.9981
0.0012 0.9976 0.4981
```

Output
Energy relative to the elements   -23.74 kJ per mole of atoms
Energy above the lowest structure with this stoichiometry   0.061 eV per atom
SG   P4/mmm, No. 123

Computed, not measured: a relaxed MgAg5Au4 crystal at the PBE level of DFT.

```
MgAg5Au4
1.0
4.8068 0.8322 -1.3245
0.4628 5.7654 -1.3462
0.0780 -0.0496 6.5308
Mg Ag Au
1 5 4
direct
0.5000 0.0000 0.0000
0.2999 0.2008 0.5995
0.0984 0.4015 0.1994
0.9016 0.5985 0.8006
0.5000 0.5000 0.0000
0.7001 0.7992 0.4005
0.6949 0.2970 0.3969
0.0976 0.9014 0.1974
0.3051 0.7030 0.6031
0.9024 0.0986 0.8026
```

Output
Energy relative to the elements   -14.49 kJ per mole of atoms
Energy above the lowest structure with this stoichiometry   0.000 eV per atom
SG   P-1, No. 2

Please write out number 1 again, unchanged.
Computed, not measured: a relaxed Mg3Ag2Au3 crystal at the PBE level of DFT.

```
Mg3Ag2Au3
1.0
-0.7107 -0.9967 5.3377
-7.3956 -3.0700 -1.5580
6.5348 -4.8829 -0.0416
Mg Ag Au
6 4 6
direct
0.7500 0.7250 0.0000
0.7500 0.2750 0.2750
0.7500 0.0000 0.7250
0.2500 0.2750 0.0000
0.2500 0.7250 0.7250
0.2500 0.0000 0.2750
0.0000 0.3333 0.6667
0.5000 0.6667 0.3333
0.0000 0.6667 0.3333
0.5000 0.3333 0.6667
0.7500 0.3700 0.0000
0.7500 0.6300 0.6300
0.7500 0.0000 0.3700
0.2500 0.6300 0.0000
0.2500 0.3700 0.3700
0.2500 0.0000 0.6300
```

Output
Energy relative to the elements   -33.79 kJ per mole of atoms
Energy above the lowest structure with this stoichiometry   0.020 eV per atom
SG   P6_3/mcm, No. 193